1.
A geometry-optimized DyY2In structure. Source: OQMD via LeMat-Bulk, functional PBE-GGA.

POSCAR file:
```
DyY2In
1.0
4.853 0.000 0.000
0.000 4.853 0.000
0.000 0.000 4.833
Dy Y In
1 2 1
direct
0.000 0.000 0.000
0.000 0.500 0.500
0.500 0.000 0.500
0.500 0.500 0.000
```

The raw total energy is -5.340 eV/atom. The size of the total moment comes out at 0.177 μB/atom.

2.
A geometry-optimized ScZnCoCu structure. Source: OQMD via LeMat-Bulk, functional PBE-GGA.

POSCAR file:
```
ScZnCoCu
1.0
0.000 3.042 3.042
3.042 0.000 3.042
3.042 3.042 0.000
Sc Zn Co Cu
1 1 1 1
direct
0.000 0.000 0.000
0.250 0.250 0.250
0.750 0.750 0.750
0.500 0.500 0.500
```

The raw total energy is -4.682 eV/atom. As for the energy above the most stable polymorph in this dataset: 2.568 kcal/mol of atoms. The size of the total moment comes out at 0.161 μB/atom.

3.
A geometry-optimized BAu4 structure. Source: OQMD via LeMat-Bulk, functional PBE-GGA.

POSCAR file:
```
BAu4
1.0
4.042 0.000 0.000
0.000 4.042 0.000
0.000 0.000 9.966
B Au
2 8
direct
0.250 0.250 0.151
0.750 0.750 0.849
0.250 0.250 0.494
0.250 0.750 0.000
0.250 0.750 0.276
0.250 0.750 0.724
0.750 0.250 0.000
0.750 0.250 0.276
0.750 0.250 0.724
0.750 0.750 0.506
```

The raw total energy is -3.584 eV/atom.